DFT (PBE) results for a relaxed Pr2Nd2Hg crystal.

- Energy of formation from the pure elements: -182 meV per atom

Unit cell a=11.957 b=11.957 c=11.957 alpha=161.91 beta=161.91 gamma=25.69
Element x y z (fractional)
Pr 0.195 0.195 0.000
Pr 0.805 0.805 0.000
Nd 0.415 0.415 0.000
Nd 0.585 0.585 0.000
Hg 0.000 0.000 0.000